[1]
# PBE-GGA ZrInO2F, optimized geometry
data_ZrInO2F
_cell_length_a 4.311
_cell_length_b 4.311
_cell_length_c 4.179
_cell_angle_alpha 90.00
_cell_angle_beta 90.00
_cell_angle_gamma 90.00
_symmetry_space_group_name_H-M 'P 1'
_symmetry_Int_Tables_number 1
loop_
_symmetry_equiv_pos_as_xyz
'x,y,z'
loop_
_atom_site_label
_atom_site_type_symbol
_atom_site_fract_x
_atom_site_fract_y
_atom_site_fract_z
Zr1 Zr 0.000 0.000 0.000
In1 In 0.500 0.500 0.500
O1 O 0.000 0.500 0.500
O2 O 0.500 0.000 0.500
F1 F 0.500 0.500 0.000
# N(E_F)   4.1 states/eV/cell
# Total DFT energy (no corrections)   -5.7821 eV per atom
# Symmetry   No. 123

---

[2]
# PBE-GGA In2OsF, optimized geometry
data_In2OsF
_cell_length_a 7.582
_cell_length_b 7.582
_cell_length_c 7.582
_cell_angle_alpha 138.55
_cell_angle_beta 138.55
_cell_angle_gamma 60.06
_symmetry_space_group_name_H-M 'P 1'
_symmetry_Int_Tables_number 1
loop_
_symmetry_equiv_pos_as_xyz
'x,y,z'
loop_
_atom_site_label
_atom_site_type_symbol
_atom_site_fract_x
_atom_site_fract_y
_atom_site_fract_z
In1 In 0.092 0.625 0.967
In2 In 0.375 0.342 0.467
In3 In 0.658 0.125 0.033
In4 In 0.875 0.908 0.533
Os1 Os 0.250 0.750 0.500
Os2 Os 0.500 0.500 0.000
F1 F 0.000 0.000 0.000
F2 F 0.750 0.250 0.500
# N(E_F)   5.1 states/eV/cell
# Total DFT energy (no corrections)   -4.4968 eV per atom
# Symmetry   No. 122

---

[3]
# PBE-GGA In2OsF, optimized geometry
data_In2OsF
_cell_length_a 4.636
_cell_length_b 4.636
_cell_length_c 4.636
_cell_angle_alpha 60.00
_cell_angle_beta 60.00
_cell_angle_gamma 60.00
_symmetry_space_group_name_H-M 'P 1'
_symmetry_Int_Tables_number 1
loop_
_symmetry_equiv_pos_as_xyz
'x,y,z'
loop_
_atom_site_label
_atom_site_type_symbol
_atom_site_fract_x
_atom_site_fract_y
_atom_site_fract_z
In1 In 0.250 0.250 0.250
In2 In 0.750 0.750 0.750
Os1 Os 0.000 0.000 0.000
F1 F 0.500 0.500 0.500
# N(E_F)   5.8 states/eV/cell
# Total DFT energy (no corrections)   -4.6611 eV per atom
# Symmetry   No. 225

---

[4]
# PBE-GGA InOs2PdF, optimized geometry
data_InOs2PdF
_cell_length_a 5.072
_cell_length_b 5.072
_cell_length_c 4.970
_cell_angle_alpha 90.00
_cell_angle_beta 90.00
_cell_angle_gamma 90.00
_symmetry_space_group_name_H-M 'P 1'
_symmetry_Int_Tables_number 1
loop_
_symmetry_equiv_pos_as_xyz
'x,y,z'
loop_
_atom_site_label
_atom_site_type_symbol
_atom_site_fract_x
_atom_site_fract_y
_atom_site_fract_z
In1 In 0.000 0.000 0.000
Os1 Os 0.000 0.500 0.000
Os2 Os 0.500 0.000 0.000
Pd1 Pd 0.000 0.000 0.500
F1 F 0.500 0.500 0.500
# N(E_F)   5.7 states/eV/cell
# Total DFT energy (no corrections)   -4.2487 eV per atom
# Symmetry   No. 123

---

[5]
# PBE-GGA RbInOs2F, optimized geometry
data_RbInOs2F
_cell_length_a 5.028
_cell_length_b 5.028
_cell_length_c 7.028
_cell_angle_alpha 90.00
_cell_angle_beta 90.00
_cell_angle_gamma 90.00
_symmetry_space_group_name_H-M 'P 1'
_symmetry_Int_Tables_number 1
loop_
_symmetry_equiv_pos_as_xyz
'x,y,z'
loop_
_atom_site_label
_atom_site_type_symbol
_atom_site_fract_x
_atom_site_fract_y
_atom_site_fract_z
Rb1 Rb 0.000 0.000 0.000
In1 In 0.000 0.000 0.500
Os1 Os 0.000 0.500 0.000
Os2 Os 0.500 0.000 0.000
F1 F 0.500 0.500 0.500
# N(E_F)   5.6 states/eV/cell
# Total DFT energy (no corrections)   -2.7845 eV per atom
# Symmetry   No. 123

---

[6]
# PBE-GGA InSn2OsF, optimized geometry
data_InSn2OsF
_cell_length_a 4.744
_cell_length_b 4.744
_cell_length_c 4.705
_cell_angle_alpha 90.00
_cell_angle_beta 90.00
_cell_angle_gamma 90.00
_symmetry_space_group_name_H-M 'P 1'
_symmetry_Int_Tables_number 1
loop_
_symmetry_equiv_pos_as_xyz
'x,y,z'
loop_
_atom_site_label
_atom_site_type_symbol
_atom_site_fract_x
_atom_site_fract_y
_atom_site_fract_z
In1 In 0.000 0.000 0.000
Sn1 Sn 0.000 0.500 0.500
Sn2 Sn 0.500 0.000 0.500
Os1 Os 0.500 0.500 0.000
F1 F 0.000 0.000 0.500
# N(E_F)   3.7 states/eV/cell
# Total DFT energy (no corrections)   -4.4171 eV per atom
# Symmetry   No. 123

---

[7]
# PBE-GGA Ta2InOsF, optimized geometry
data_Ta2InOsF
_cell_length_a 5.164
_cell_length_b 5.164
_cell_length_c 3.883
_cell_angle_alpha 90.00
_cell_angle_beta 90.00
_cell_angle_gamma 90.00
_symmetry_space_group_name_H-M 'P 1'
_symmetry_Int_Tables_number 1
loop_
_symmetry_equiv_pos_as_xyz
'x,y,z'
loop_
_atom_site_label
_atom_site_type_symbol
_atom_site_fract_x
_atom_site_fract_y
_atom_site_fract_z
Ta1 Ta 0.000 0.500 0.000
Ta2 Ta 0.500 0.000 0.000
In1 In 0.000 0.000 0.000
Os1 Os 0.500 0.500 0.500
F1 F 0.000 0.000 0.500
# N(E_F)   5.3 states/eV/cell
# Total DFT energy (no corrections)   -6.3225 eV per atom
# Symmetry   No. 123

---

[8]
# PBE-GGA InTcOsF2, optimized geometry
data_InTcOsF2
_cell_length_a 3.882
_cell_length_b 3.882
_cell_length_c 6.152
_cell_angle_alpha 90.00
_cell_angle_beta 90.00
_cell_angle_gamma 90.00
_symmetry_space_group_name_H-M 'P 1'
_symmetry_Int_Tables_number 1
loop_
_symmetry_equiv_pos_as_xyz
'x,y,z'
loop_
_atom_site_label
_atom_site_type_symbol
_atom_site_fract_x
_atom_site_fract_y
_atom_site_fract_z
In1 In 0.000 0.000 0.000
Tc1 Tc 0.000 0.000 0.500
Os1 Os 0.500 0.500 0.500
F1 F 0.000 0.500 0.000
F2 F 0.500 0.000 0.000
# N(E_F)   3.7 states/eV/cell
# Total DFT energy (no corrections)   -5.4365 eV per atom
# Symmetry   No. 123